# 1
Entry from the Alexandria database: a relaxed structure of Ca2In5Ni2Pd (GGA-PBE).

## Properties
* energy of formation from the pure elements: -3.2 eV/f.u.
* D(E_F): 10.54 states/eV per cell

```
data_Ca2In5Ni2Pd
_space_group_name_H-M_alt 'P 4/m b m'
_space_group_IT_number 127
_space_group_name_Hall '-P 4 2ab'
_cell_length_a 10.6744
_cell_length_b 10.6744
_cell_length_c 3.7186
_cell_angle_alpha 90.00
_cell_angle_beta 90.00
_cell_angle_gamma 90.00
loop_
_atom_site_label
_atom_site_type_symbol
_atom_site_fract_x
_atom_site_fract_y
_atom_site_fract_z
Ca1 Ca 0.1802 0.3198 0.0000
In1 In 0.0000 0.5000 0.5000
In2 In 0.0599 0.7989 0.5000
Ni1 Ni 0.1233 0.6233 0.0000
Pd1 Pd 0.0000 0.0000 0.0000
```



# 2
Entry from the Alexandria database: a relaxed structure of Ca2In5NiPd2 (GGA-PBE).

## Properties
* energy of formation from the pure elements: -3.9 eV/f.u.
* D(E_F): 12.77 states/eV per cell

```
data_Ca2In5NiPd2
_space_group_name_H-M_alt 'P 4/m b m'
_space_group_IT_number 127
_space_group_name_Hall '-P 4 2ab'
_cell_length_a 10.8827
_cell_length_b 10.8827
_cell_length_c 3.7183
_cell_angle_alpha 90.00
_cell_angle_beta 90.00
_cell_angle_gamma 90.00
loop_
_atom_site_label
_atom_site_type_symbol
_atom_site_fract_x
_atom_site_fract_y
_atom_site_fract_z
Ca1 Ca 0.1798 0.3202 0.0000
In1 In 0.0000 0.5000 0.5000
In2 In 0.0548 0.8107 0.5000
Ni1 Ni 0.0000 0.0000 0.0000
Pd1 Pd 0.1282 0.6282 0.0000
```



# 3
Entry from the Alexandria database: a relaxed structure of Ca2In6NiPd (GGA-PBE).

## Properties
* energy of formation from the pure elements: -2.1 eV/f.u.
* D(E_F): 24.03 states/eV per cell

```
data_Ca2In6NiPd
_space_group_name_H-M_alt 'F m -3 m'
_space_group_IT_number 225
_space_group_name_Hall '-F 4 2 3'
_cell_length_a 10.1966
_cell_length_b 10.1966
_cell_length_c 10.1966
_cell_angle_alpha 90.00
_cell_angle_beta 90.00
_cell_angle_gamma 90.00
loop_
_atom_site_label
_atom_site_type_symbol
_atom_site_fract_x
_atom_site_fract_y
_atom_site_fract_z
Ca1 Ca 0.2500 0.2500 0.2500
In1 In 0.0000 0.0000 0.2434
Ni1 Ni 0.0000 0.0000 0.0000
Pd1 Pd 0.0000 0.0000 0.5000
```



# 4
Entry from the Alexandria database: a relaxed structure of CaIn4NiPd2 (GGA-PBE).

## Properties
* energy of formation from the pure elements: -3.0 eV/f.u.
* D(E_F): 6.55 states/eV per cell

```
data_CaIn4NiPd2
_space_group_name_H-M_alt 'R -3 m'
_space_group_IT_number 166
_space_group_name_Hall '-R 3 2"'
_cell_length_a 4.5469
_cell_length_b 4.5469
_cell_length_c 28.3996
_cell_angle_alpha 90.00
_cell_angle_beta 90.00
_cell_angle_gamma 120.00
loop_
_atom_site_label
_atom_site_type_symbol
_atom_site_fract_x
_atom_site_fract_y
_atom_site_fract_z
Ca1 Ca 0.0000 0.0000 0.0000
In1 In 0.0000 0.0000 0.1350
In2 In 0.0000 0.0000 0.4013
Ni1 Ni 0.0000 0.0000 0.5000
Pd1 Pd 0.0000 0.0000 0.2357
```



# 5
Entry from the Alexandria database: a relaxed structure of CaPmInNi (GGA-PBE).

## Properties
* energy of formation from the pure elements: -0.9 eV/f.u.
* D(E_F): 13.46 states/eV per cell

```
data_CaPmInNi
_space_group_name_H-M_alt 'F -4 3 m'
_space_group_IT_number 216
_space_group_name_Hall 'F -4 2 3'
_cell_length_a 7.3525
_cell_length_b 7.3525
_cell_length_c 7.3525
_cell_angle_alpha 90.00
_cell_angle_beta 90.00
_cell_angle_gamma 90.00
loop_
_atom_site_label
_atom_site_type_symbol
_atom_site_fract_x
_atom_site_fract_y
_atom_site_fract_z
Ca1 Ca 0.0000 0.0000 0.0000
Pm1 Pm 0.0000 0.0000 0.5000
In1 In 0.2500 0.2500 0.7500
Ni1 Ni 0.2500 0.2500 0.2500
```



# 6
Entry from the Alexandria database: a relaxed structure of Ca2In5NiRh2 (GGA-PBE).

## Properties
* energy of formation from the pure elements: -3.4 eV/f.u.
* D(E_F): 13.74 states/eV per cell

```
data_Ca2In5NiRh2
_space_group_name_H-M_alt 'P 4/m b m'
_space_group_IT_number 127
_space_group_name_Hall '-P 4 2ab'
_cell_length_a 10.8302
_cell_length_b 10.8302
_cell_length_c 3.6547
_cell_angle_alpha 90.00
_cell_angle_beta 90.00
_cell_angle_gamma 90.00
loop_
_atom_site_label
_atom_site_type_symbol
_atom_site_fract_x
_atom_site_fract_y
_atom_site_fract_z
Ca1 Ca 0.1813 0.3187 0.0000
In1 In 0.0000 0.5000 0.5000
In2 In 0.0559 0.8099 0.5000
Ni1 Ni 0.0000 0.0000 0.0000
Rh1 Rh 0.1274 0.6274 0.0000
```



# 7
Entry from the Alexandria database: a relaxed structure of Ca2In5Ni2Rh (GGA-PBE).

## Properties
* energy of formation from the pure elements: -2.7 eV/f.u.
* D(E_F): 14.22 states/eV per cell

```
data_Ca2In5Ni2Rh
_space_group_name_H-M_alt 'P 4/m b m'
_space_group_IT_number 127
_space_group_name_Hall '-P 4 2ab'
_cell_length_a 10.6158
_cell_length_b 10.6158
_cell_length_c 3.6932
_cell_angle_alpha 90.00
_cell_angle_beta 90.00
_cell_angle_gamma 90.00
loop_
_atom_site_label
_atom_site_type_symbol
_atom_site_fract_x
_atom_site_fract_y
_atom_site_fract_z
Ca1 Ca 0.1791 0.3209 0.0000
In1 In 0.0000 0.5000 0.5000
In2 In 0.0589 0.8015 0.5000
Ni1 Ni 0.1259 0.6259 0.0000
Rh1 Rh 0.0000 0.0000 0.0000
```



# 8
Entry from the Alexandria database: a relaxed structure of Ca2InNiSb (GGA-PBE).

## Properties
* D(E_F): 2.62 states/eV per cell
* formation energy without anion corrections: -7.71 kcal/mol of atoms

```
data_Ca2InNiSb
_space_group_name_H-M_alt 'P 4/m m m'
_space_group_IT_number 123
_space_group_name_Hall '-P 4 2'
_cell_length_a 5.4625
_cell_length_b 5.4625
_cell_length_c 4.7172
_cell_angle_alpha 90.00
_cell_angle_beta 90.00
_cell_angle_gamma 90.00
loop_
_atom_site_label
_atom_site_type_symbol
_atom_site_fract_x
_atom_site_fract_y
_atom_site_fract_z
Ca1 Ca 0.0000 0.5000 0.0000
In1 In 0.0000 0.0000 0.5000
Ni1 Ni 0.5000 0.5000 0.0000
Sb1 Sb 0.5000 0.5000 0.5000
```